Density functional theory data (PBE-GGA) for HoHf2Ir2 after structural relaxation.

E_tot in eV per atom: -9.263
Formation enthalpy at 0 K in eV/atom: -0.8215

Cell: 4.448 4.448 6.339 Å, 110.54 110.54 90.00°
Fractional positions:
Hf: 0.250 0.750 0.500
Hf: 0.750 0.250 0.500
Ir: 0.384 0.384 0.768
Ir: 0.616 0.616 0.232
Ho: 0.000 0.000 0.000


Density functional theory data (PBE-GGA) for MgHPd2Ru after structural relaxation.

E_tot in eV per atom: -5.049

Cell: 4.053 4.053 3.885 Å, 90.00 90.00 90.00°
Fractional positions:
Mg: 0.500 0.500 0.500
Pd: 0.000 0.500 0.000
Pd: 0.500 0.000 0.000
Ru: 0.000 0.000 0.500
H: 0.000 0.000 0.000


Density functional theory data (PBE-GGA) for FeAsOs after structural relaxation.

E_tot in eV per atom: -7.805
Relative energy among the computed polymorphs in meV per atom: 129
Formation enthalpy at 0 K in eV/atom: 0.3092

Cell: 2.825 2.825 5.983 Å, 90.00 90.00 120.00°
Last column: magnetic moment on the atom in μB.
Fractional positions:
Fe: 0.333 0.667 0.330  1.71
Os: 0.667 0.333 0.659  -0.11
As: 0.000 0.000 0.011  -0.03


> Which value of E_tot does entry 3 give?

-7.805 eV per atom